1.
## AuSeI6 (GGA-PBE)

Data for a relaxed AuSeI6 crystal.

Computed properties:
Calculated total energy ... -51.19 eV/cell

Unit cell a=10.9170 b=10.9170 c=10.9170 alpha=90.00 beta=90.00 gamma=90.00
Closest atoms and distances in Å follow each position.
Space group F-43m (No. 216)
Unique sites:
Au1 0.0000 0.0000 0.0000 [4 per cell]  12 I 3.86
Se1 0.2500 0.2500 0.7500 [4 per cell]  6 I 2.78
I1 0.0049 0.2500 0.2500 [24 per cell]  1 Se 2.78

=====

2.
## SnAu3I (GGA-PBE)

Data for a relaxed SnAu3I crystal.

Computed properties:
Calculated total energy ... -57.00 eV/cell

Unit cell a=5.7992 b=11.0303 c=8.1353 alpha=90.00 beta=90.00 gamma=90.00
Closest atoms and distances in Å follow each position.
Space group Imma (No. 74)
Unique sites:
Sn1 0.0000 0.2500 0.0160 [4 per cell]  5 Au 2.62-2.80
Au1 0.0000 0.2500 0.6934 [4 per cell]  1 Sn 2.62
Au2 0.2500 0.1181 0.2500 [8 per cell]  2 Sn 2.80, 2 I 2.82, 3 Au 2.90-2.91
I1 0.0000 0.0000 0.5000 [4 per cell]  4 Au 2.82

=====

3.
## SrAu2I4 (GGA-PBE)

Data for a relaxed SrAu2I4 crystal.

Computed properties:
Calculated total energy ... -37.01 eV/cell

Unit cell a=8.6845 b=12.0912 c=4.4828 alpha=90.00 beta=92.76 gamma=90.00
Closest atoms and distances in Å follow each position.
Space group C2/m (No. 12)
Unique sites:
Sr1 0.0000 0.0000 0.0000 [2 per cell]  6 I 3.21-3.26
Au1 0.2500 0.2500 0.5000 [4 per cell]  6 I 3.03-3.20
I1 0.0000 0.2668 0.0000 [4 per cell]  4 Au 3.05-3.20, 1 Sr 3.23
I2 0.2308 0.5000 0.4824 [4 per cell]  2 Au 3.03, 2 Sr 3.21-3.26

=====

4.
## Te2AuI (GGA-PBE)

Data for a relaxed Te2AuI crystal.

Computed properties:
Calculated total energy ... -23.07 eV/cell

Unit cell a=13.8248 b=4.1272 c=4.8564 alpha=90.00 beta=106.23 gamma=90.00
Closest atoms and distances in Å follow each position.
Space group Cm (No. 8)
Unique sites:
Te1 0.0000 0.0000 0.0000 [2 per cell]  2 Au 2.73, 1 Te 2.91
Te2 0.1619 0.0000 0.7255 [2 per cell]  2 Au 2.75, 1 Te 2.91
Au1 0.0815 0.5000 0.3596 [2 per cell]  4 Te 2.73-2.75
I1 0.3445 0.0000 0.4497 [2 per cell]  1 Te 3.17, 1 Au 3.42

=====

5.
## WAuI3 (GGA-PBE)

Data for a relaxed WAuI3 crystal.

Computed properties:
Calculated total energy ... -63.54 eV/cell

Unit cell a=8.9469 b=8.9469 c=9.9529 alpha=90.00 beta=90.00 gamma=90.00
Closest atoms and distances in Å follow each position.
Space group I4/mcm (No. 140)
Unique sites:
W1 0.0000 0.5000 0.2500 [4 per cell]  4 I 3.00
Au1 0.0000 0.0000 0.0000 [4 per cell]  2 I 2.49
I1 0.0000 0.0000 0.2500 [4 per cell]  2 Au 2.49
I2 0.1331 0.3669 0.0000 [8 per cell]  2 W 3.00

=====

6.
## InAu3 (GGA-PBE)

Data for a relaxed InAu3 crystal.

Computed properties:
Calculated total energy ... -78.13 eV/cell

Unit cell a=5.9235 b=14.6370 c=5.2209 alpha=90.00 beta=90.00 gamma=90.00
Closest atoms and distances in Å follow each position.
Space group Pmmn (No. 59, origin choice 2)
Unique sites:
In1 0.2500 0.0849 0.1650 [4 per cell]  12 Au 2.94-3.00
In2 0.2500 0.7500 0.5063 [2 per cell]  12 Au 2.96-3.03
Au1 0.0000 0.2500 0.9875 [4 per cell]  8 Au 2.96-3.00, 4 In 2.97-3.03
Au2 0.0006 0.5823 0.3350 [8 per cell]  8 Au 2.95-3.02, 4 In 2.99-3.00
Au3 0.2500 0.2500 0.4872 [2 per cell]  4 In 2.94-2.96, 8 Au 3.00-3.02
Au4 0.2500 0.5838 0.8371 [4 per cell]  4 In 2.96-3.00, 8 Au 2.99-3.01

=====

7.
## InAu9 (GGA-PBE)

Data for a relaxed InAu9 crystal.

Computed properties:
Calculated total energy ... -64.02 eV/cell

Unit cell a=2.9584 b=2.9584 c=52.0818 alpha=90.00 beta=90.00 gamma=90.00
Closest atoms and distances in Å follow each position.
Space group P4/nmm (No. 129, origin choice 2)
Unique sites:
In1 0.2500 0.2500 0.1200 [2 per cell]  4 In 2.96, 4 Au 3.12
Au1 0.2500 0.2500 0.2058 [2 per cell]  12 Au 2.96-3.00
Au2 0.2500 0.2500 0.2855 [2 per cell]  12 Au 2.92-2.96
Au3 0.2500 0.2500 0.3635 [2 per cell]  12 Au 2.91-2.96
Au4 0.2500 0.2500 0.4416 [2 per cell]  12 Au 2.92-2.96
Au5 0.2500 0.2500 0.5195 [2 per cell]  12 Au 2.91-2.96
Au6 0.2500 0.2500 0.5975 [2 per cell]  12 Au 2.91-2.96
Au7 0.2500 0.2500 0.6754 [2 per cell]  12 Au 2.91-2.96
Au8 0.2500 0.2500 0.7540 [2 per cell]  12 Au 2.93-2.96
Au9 0.2500 0.2500 0.8354 [2 per cell]  8 Au 2.96-3.00, 4 In 3.12

=====

8.
## In9Au13 (GGA-PBE)

Data for a relaxed In9Au13 crystal.

Computed properties:
Calculated total energy ... -280.65 eV/cell

Unit cell a=16.2878 b=9.4632 c=14.1602 alpha=90.00 beta=125.02 gamma=90.00
Closest atoms and distances in Å follow each position.
Space group C2/c (No. 15)
Unique sites:
In1 0.0000 0.1221 0.2500 [4 per cell]  8 Au 2.85-2.96
In2 0.0301 0.1604 0.6157 [8 per cell]  8 Au 2.90-3.04
In3 0.0356 0.4241 0.1251 [8 per cell]  7 Au 2.87-2.97
In4 0.2281 0.3757 0.8727 [8 per cell]  10 Au 2.85-3.12
In5 0.2398 0.3698 0.6188 [8 per cell]  8 Au 2.90-2.96
Au1 0.0000 0.3605 0.7500 [4 per cell]  6 In 2.92-3.07, 6 Au 2.93-3.22
Au2 0.0983 0.1325 0.1334 [8 per cell]  6 In 2.88-2.94, 4 Au 3.00-3.15
Au3 0.1250 0.3766 0.0024 [8 per cell]  6 In 2.87-3.12, 6 Au 2.91-3.20
Au4 0.1257 0.1192 0.4958 [8 per cell]  4 In 2.85-3.06, 4 Au 2.91-3.00
Au5 0.1360 0.3623 0.3694 [8 per cell]  6 In 2.88-2.94, 5 Au 2.98-3.22
Au6 0.1429 0.1130 0.8737 [8 per cell]  6 In 2.85-3.04, 4 Au 2.91-3.12
Au7 0.2451 0.1197 0.7463 [8 per cell]  6 In 2.90-3.12, 6 Au 2.91-3.18

=====

9.
## InAu9 (GGA-PBE)

Data for a relaxed InAu9 crystal.

Computed properties:
Calculated total energy ... -64.10 eV/cell

Unit cell a=2.9359 b=3.9703 c=40.6927 alpha=90.00 beta=90.00 gamma=90.00
Closest atoms and distances in Å follow each position.
Space group Pmmn (No. 59, origin choice 2)
Unique sites:
In1 0.2500 0.2500 0.1354 [2 per cell]  2 In 2.94, 4 Au 2.99
Au1 0.2500 0.2500 0.2164 [2 per cell]  11 Au 2.92-3.08
Au2 0.2500 0.2500 0.2922 [2 per cell]  12 Au 2.90-3.08
Au3 0.2500 0.2500 0.3679 [2 per cell]  12 Au 2.91-3.08
Au4 0.2500 0.2500 0.4435 [2 per cell]  12 Au 2.91-3.08
Au5 0.2500 0.2500 0.5188 [2 per cell]  12 Au 2.91-3.07
Au6 0.2500 0.2500 0.5942 [2 per cell]  12 Au 2.91-3.07
Au7 0.2500 0.2500 0.6698 [2 per cell]  12 Au 2.91-3.08
Au8 0.2500 0.2500 0.7454 [2 per cell]  12 Au 2.90-3.16
Au9 0.2500 0.2500 0.8231 [2 per cell]  7 Au 2.94-3.16, 4 In 2.99

=====

10.
## In3Au (GGA-PBE)

Data for a relaxed In3Au crystal.

Computed properties:
Calculated total energy ... -43.78 eV/cell

Unit cell a=4.7704 b=14.2597 c=7.8396 alpha=90.00 beta=90.00 gamma=90.00
Closest atoms and distances in Å follow each position.
Space group Cmmm (No. 65)
Unique sites:
In1 0.0000 0.0983 0.0000 [4 per cell]  3 Au 2.78-2.89, 1 In 2.80
In2 0.0000 0.3917 0.3107 [8 per cell]  1 Au 2.76, 1 In 2.97
Au1 0.0000 0.3012 0.0000 [4 per cell]  5 In 2.76-2.89, 2 Au 2.80

=====

11.
## In3Au10 (GGA-PBE)

Data for a relaxed In3Au10 crystal.

Computed properties:
Calculated total energy ... -84.73 eV/cell

Unit cell a=10.6918 b=10.6918 c=4.8746 alpha=90.00 beta=90.00 gamma=120.00
Closest atoms and distances in Å follow each position.
Space group P6_3/m (No. 176)
Unique sites:
In1 0.1043 0.3630 0.2500 [6 per cell]  12 Au 2.93-3.01
Au1 0.0236 0.5894 0.2500 [6 per cell]  8 Au 2.92-3.00, 4 In 2.95-2.97
Au2 0.0508 0.1780 0.7500 [6 per cell]  8 Au 2.94-2.97, 4 In 2.99-3.01
Au3 0.2068 0.7208 0.7500 [6 per cell]  9 Au 2.92-3.00, 3 In 2.95-2.98
Au4 0.3333 0.6667 0.2500 [2 per cell]  3 In 2.93, 9 Au 2.98-2.99

=====

12.
## In2Ir2Au (GGA-PBE)

Data for a relaxed In2Ir2Au crystal.

Computed properties:
Calculated total energy ... -49.89 eV/cell

Unit cell a=3.8285 b=3.8285 c=13.3487 alpha=90.00 beta=90.00 gamma=90.00
Closest atoms and distances in Å follow each position.
Space group I4/mmm (No. 139)
Unique sites:
In1 0.0000 0.0000 0.1042 [4 per cell]  4 Ir 2.73, 1 In 2.78, 4 Au 3.04
Ir1 0.0000 0.5000 0.2500 [4 per cell]  4 Ir 2.71, 4 In 2.73
Au1 0.0000 0.0000 0.5000 [2 per cell]  8 In 3.04

=====

Repeat the tenth record exactly.
## In3Au (GGA-PBE)

Data for a relaxed In3Au crystal.

Computed properties:
Calculated total energy ... -43.78 eV/cell

Unit cell a=4.7704 b=14.2597 c=7.8396 alpha=90.00 beta=90.00 gamma=90.00
Closest atoms and distances in Å follow each position.
Space group Cmmm (No. 65)
Unique sites:
In1 0.0000 0.0983 0.0000 [4 per cell]  3 Au 2.78-2.89, 1 In 2.80
In2 0.0000 0.3917 0.3107 [8 per cell]  1 Au 2.76, 1 In 2.97
Au1 0.0000 0.3012 0.0000 [4 per cell]  5 In 2.76-2.89, 2 Au 2.80

=====

Number 11 is which compound? In3Au10

=====

calculated total energy of number 12 (In2Ir2Au)? -49.89 eV/cell